[1]
First-principles (PBE) data for a geometry-optimized BaSm2Th structure, as listed in Alexandria via LeMat-Bulk.

abc: 3.7087 3.7087 11.0931
angles: 90.00 90.00 90.00
Last column: nearest neighbours and their distance in Å.
Sites, in units of the cell vectors:
Sm (0.0000, 0.0000, 0.7887)  4 Th 3.52, 4 Sm 3.71
Sm (0.0000, 0.0000, 0.2113)  4 Th 3.52, 4 Sm 3.71
Th (0.5000, 0.5000, 0.0000)  8 Sm 3.52, 4 Th 3.71
Ba (0.5000, 0.5000, 0.5000)  4 Ba 3.71, 8 Sm 4.14

energy of formation = 0.104 eV/atom
SG = No. 123
total moment = 0.0 μB/cell



[2]
First-principles (PBE) data for a geometry-optimized BaSmTl structure, as listed in Alexandria via LeMat-Bulk.

abc: 5.3078 5.3068 8.3754
angles: 89.97 89.97 90.00
Last column: nearest neighbours and their distance in Å.
Sites, in units of the cell vectors:
Ba (0.8138, 0.8667, 0.5577)  1 Tl 3.49
Ba (0.3134, 0.3663, 0.2815)  1 Tl 3.49
Sm (0.8137, 0.3664, 0.9196)  4 Tl 3.23-3.24
Sm (0.3135, 0.8665, 0.9196)  4 Tl 3.23-3.24
Tl (0.8132, 0.8662, 0.1406)  4 Sm 3.23-3.24, 1 Ba 3.49
Tl (0.3139, 0.3668, 0.6987)  4 Sm 3.23-3.24, 1 Ba 3.49

energy of formation = -0.284 eV/atom
SG = No. 129
total moment = 0.0 μB/cell



[3]
First-principles (PBE) data for a geometry-optimized Ba2SmTl structure, as listed in Alexandria via LeMat-Bulk.

abc: 3.9398 3.9398 13.1669
angles: 81.40 81.40 60.00
Last column: nearest neighbours and their distance in Å.
Sites, in units of the cell vectors:
Tl (0.5000, 0.5000, 0.5000)  6 Ba 3.58, 6 Tl 3.94
Ba (0.0954, 0.0954, 0.7137)  3 Tl 3.58, 1 Sm 3.71, 6 Ba 3.94
Ba (0.9046, 0.9046, 0.2863)  3 Tl 3.58, 1 Sm 3.71, 6 Ba 3.94
Sm (0.0000, 0.0000, 0.0000)  2 Ba 3.71, 6 Sm 3.94

energy of formation = 0.176 eV/atom
SG = No. 166
total moment = 0.4 μB/cell



[4]
First-principles (PBE) data for a geometry-optimized BaSmTl4 structure, as listed in Alexandria via LeMat-Bulk.

abc: 6.4430 6.4430 6.4430
angles: 60.00 60.00 60.00
Last column: nearest neighbours and their distance in Å.
Sites, in units of the cell vectors:
Tl (0.6254, 0.6254, 0.1238)  6 Tl 3.21-3.23
Tl (0.6254, 0.1238, 0.6254)  6 Tl 3.21-3.23
Tl (0.6254, 0.6254, 0.6254)  6 Tl 3.21-3.23
Tl (0.1238, 0.6254, 0.6254)  6 Tl 3.21-3.23
Ba (0.2500, 0.2500, 0.2500)  12 Tl 3.78, 4 Sm 3.95
Sm (0.0000, 0.0000, 0.0000)  12 Tl 3.78, 4 Ba 3.95

energy of formation = -0.171 eV/atom
SG = No. 216
total moment = 0.0 μB/cell



Q: Which value of total moment does entry 1 give?
A: 0.0 μB/cell



Q: Which of these has the highest energy of formation?
A: Ba2SmTl



Q: Among the records above, which one has the highest energy of formation?
A: Ba2SmTl